Model one:
A geometry-optimized BaFeP2S structure, computed with PBE-GGA.

Summary:
- density of states at the Fermi level (states/eV per atom) = 0.61

Cell: 4.3722 4.3722 5.4749 Å, 90.00 90.00 90.00°
Space group P4/mmm (No. 123)
Symmetry-distinct sites (fractional):
Ba 0.0000 0.0000 0.0000 (multiplicity 1)
Fe 0.5000 0.5000 0.5000 (multiplicity 1)
P 0.0000 0.5000 0.5000 (multiplicity 2)
S 0.5000 0.5000 0.0000 (multiplicity 1)

Model two:
A geometry-optimized BaFeP2S structure, computed with PBE-GGA.

Summary:
- density of states at the Fermi level (states/eV per atom) = 1.83

Cell: 5.5450 5.5450 5.5787 Å, 90.00 90.00 90.00°
Space group P4/mmm (No. 123)
Symmetry-distinct sites (fractional):
Ba 0.0000 0.0000 0.0000 (multiplicity 1)
Fe 0.5000 0.5000 0.5000 (multiplicity 1)
P 0.0000 0.5000 0.0000 (multiplicity 2)
S 0.0000 0.0000 0.5000 (multiplicity 1)

How far above the most stable structure does each one sit? In meV/atom: model one 0; model two 2091.

Model one:
A geometry-optimized BaFeSiPb2 structure, computed with PBE-GGA.

Summary:
- density of states at the Fermi level (states/eV per atom) = 1.94

Cell: 5.3392 5.3392 4.5961 Å, 90.00 90.00 90.00°
Space group P4/mmm (No. 123)
Symmetry-distinct sites (fractional):
Ba 0.0000 0.0000 0.0000 (multiplicity 1)
Fe 0.5000 0.5000 0.5000 (multiplicity 1)
Si 0.5000 0.5000 0.0000 (multiplicity 1)
Pb 0.0000 0.5000 0.5000 (multiplicity 2)

Model two:
A geometry-optimized BaFeSiPb2 structure, computed with PBE-GGA.

Summary:
- density of states at the Fermi level (states/eV per atom) = 1.55

Cell: 6.2428 6.2428 4.7857 Å, 90.00 90.00 90.00°
Space group P4/mmm (No. 123)
Symmetry-distinct sites (fractional):
Ba 0.0000 0.0000 0.0000 (multiplicity 1)
Fe 0.0000 0.0000 0.5000 (multiplicity 1)
Si 0.5000 0.5000 0.5000 (multiplicity 1)
Pb 0.0000 0.5000 0.0000 (multiplicity 2)

How far above the most stable structure does each one sit? In meV/atom: model one 0; model two 1730.

Model one:
A geometry-optimized BaTiFe2Pd structure, computed with PBE-GGA.

Summary:
- density of states at the Fermi level (states/eV per atom) = 1.15

Cell: 4.6990 4.6990 4.9630 Å, 90.00 90.00 90.00°
Space group P4/mmm (No. 123)
Symmetry-distinct sites (fractional):
Ba 0.0000 0.0000 0.0000 (multiplicity 1)
Ti 0.0000 0.0000 0.5000 (multiplicity 1)
Fe 0.0000 0.5000 0.0000 (multiplicity 2)
Pd 0.5000 0.5000 0.5000 (multiplicity 1)

Model two:
A geometry-optimized BaTiFe2Pd structure, computed with PBE-GGA.

Summary:
- density of states at the Fermi level (states/eV per atom) = 1.86

Cell: 4.6938 4.6938 5.1019 Å, 90.00 90.00 90.00°
Space group P4/mmm (No. 123)
Symmetry-distinct sites (fractional):
Ba 0.0000 0.0000 0.0000 (multiplicity 1)
Ti 0.5000 0.5000 0.5000 (multiplicity 1)
Fe 0.0000 0.5000 0.0000 (multiplicity 2)
Pd 0.0000 0.0000 0.5000 (multiplicity 1)

How far above the most stable structure does each one sit? In meV/atom: model one 0; model two 100.

Model one:
A geometry-optimized RbBaFe2 structure, computed with PBE-GGA.

Summary:
- density of states at the Fermi level (states/eV per atom) = 2.42

Cell: 7.9715 7.9715 7.9715 Å, 90.00 90.00 90.00°
Space group Fm-3m (No. 225)
Symmetry-distinct sites (fractional):
Rb 0.0000 0.0000 0.0000 (multiplicity 4)
Ba 0.0000 0.0000 0.5000 (multiplicity 4)
Fe 0.2500 0.2500 0.2500 (multiplicity 8)

Model two:
A geometry-optimized RbBaFe2 structure, computed with PBE-GGA.

Summary:
- density of states at the Fermi level (states/eV per atom) = 1.14

Cell: 5.0778 5.0778 21.7142 Å, 90.00 90.00 90.00°
Space group I4_1/amd (No. 141, origin choice 2)
Symmetry-distinct sites (fractional):
Rb 0.0000 0.2500 0.3750 (multiplicity 4)
Ba 0.0000 0.2500 0.8750 (multiplicity 4)
Fe 0.0000 0.0000 0.0000 (multiplicity 8)

How far above the most stable structure does each one sit? In meV/atom: model one 55; model two 0.